{"formula": "Ca4Ga", "functional": "PBE", "state": "optimized geometry", "lattice": [[7.980, -7.648, 0.000], [7.980, 7.648, 0.000], [-7.120, 0.000, 8.679]], "species": ["Ca", "Ca", "Ca", "Ca", "Ca", "Ca", "Ca", "Ca", "Ca", "Ca", "Ca", "Ca", "Ca", "Ca", "Ca", "Ca", "Ca", "Ca", "Ca", "Ca", "Ca", "Ca", "Ca", "Ca", "Ga", "Ga", "Ga", "Ga", "Ga", "Ga"], "fractional_positions": [[0.000, 0.500, 0.500], [0.010, 0.569, 0.196], [0.052, 0.845, 0.040], [0.127, 0.873, 0.750], [0.155, 0.948, 0.460], [0.217, 0.271, 0.370], [0.271, 0.217, 0.870], [0.306, 0.635, 0.910], [0.333, 0.438, 0.235], [0.365, 0.694, 0.590], [0.431, 0.990, 0.304], [0.438, 0.333, 0.735], [0.500, 0.000, 0.000], [0.562, 0.667, 0.265], [0.569, 0.010, 0.696], [0.635, 0.306, 0.410], [0.667, 0.562, 0.765], [0.694, 0.365, 0.090], [0.729, 0.783, 0.130], [0.783, 0.729, 0.630], [0.845, 0.052, 0.540], [0.873, 0.127, 0.250], [0.948, 0.155, 0.960], [0.990, 0.431, 0.804], [0.111, 0.262, 0.589], [0.262, 0.111, 0.089], [0.276, 0.724, 0.250], [0.724, 0.276, 0.750], [0.738, 0.889, 0.911], [0.889, 0.738, 0.411]], "de_polymorph_mev_per_atom": 0, "total_energy_ev_per_atom": -2.35, "density_g_cm3": 2.164, "e_form_ev_per_atom": -0.141}